[1]
# HfZn2Cr2

A relaxed structure of HfZn2Cr2 (PBE, Alexandria).

As for the excess energy over the best structure of this formula in the dataset: 0.0000 eV per atom. The total energy comes out at -6.169 eV per atom. The value obtained for the formation energy is 0.180 eV per atom.

```
HfZn2Cr2
1.0
-1.771 1.771 5.940
1.771 -1.771 5.940
1.771 1.771 -5.940
Hf Zn Cr
1 2 2
Direct
0.000 0.000 0.000 Hf
0.399 0.399 0.000 Zn
0.601 0.601 0.000 Zn
0.250 0.750 0.500 Cr
0.750 0.250 0.500 Cr
```



[2]
# TbUSe2

A relaxed structure of TbUSe2 (PBE, Alexandria).

As for the excess energy over the best structure of this formula in the dataset: 0.0000 eV per atom. The total energy comes out at -7.099 eV per atom. The uncorrected formation energy is -1.3775 eV/atom.

```
TbUSe2
1.0
1.999 1.154 6.931
-1.999 1.154 6.931
0.000 -2.308 6.931
Tb U Se
1 1 2
Direct
0.000 0.000 0.000 Tb
0.500 0.500 0.500 U
0.251 0.251 0.251 Se
0.749 0.749 0.749 Se
```



[3]
# CrMo2Rh7

A relaxed structure of CrMo2Rh7 (PBE, Alexandria).

The total energy comes out at -7.858 eV per atom. The value obtained for the formation energy is 0.417 eV per atom.

```
CrMo2Rh7
1.0
4.018 -7.555 0.000
4.018 7.555 0.000
0.000 0.000 2.700
Cr Mo Rh
1 2 7
Direct
0.000 0.000 0.000 Cr
0.329 0.671 0.500 Mo
0.671 0.329 0.500 Mo
0.129 0.317 0.500 Rh
0.185 0.815 0.000 Rh
0.317 0.129 0.500 Rh
0.500 0.500 0.500 Rh
0.683 0.871 0.500 Rh
0.815 0.185 0.000 Rh
0.871 0.683 0.500 Rh
```



[4]
# PRuS2Cl

A relaxed structure of PRuS2Cl (PBE, Alexandria).

As for the excess energy over the best structure of this formula in the dataset: 0.1371 eV per atom. The total energy comes out at -4.295 eV per atom. The uncorrected formation energy is 0.6623 eV/atom.

```
PRuS2Cl
1.0
4.567 0.000 0.000
0.000 4.567 0.000
0.000 0.000 4.721
P Ru S Cl
1 1 2 1
Direct
0.000 0.000 0.000 P
0.500 0.500 0.500 Ru
0.000 0.500 0.500 S
0.500 0.000 0.500 S
0.500 0.500 0.000 Cl
```



[5]
# Mg3Pd

A relaxed structure of Mg3Pd (PBE, Alexandria).

The total energy comes out at -2.880 eV per atom. The value obtained for the formation energy is -0.386 eV per atom.

```
Mg3Pd
1.0
7.142 0.000 0.000
0.000 7.142 0.000
0.000 0.000 6.782
Mg Pd
12 4
Direct
0.000 0.500 0.000 Mg
0.000 0.500 0.500 Mg
0.158 0.158 0.248 Mg
0.158 0.158 0.752 Mg
0.342 0.658 0.252 Mg
0.342 0.658 0.748 Mg
0.500 0.000 0.000 Mg
0.500 0.000 0.500 Mg
0.658 0.342 0.252 Mg
0.658 0.342 0.748 Mg
0.842 0.842 0.248 Mg
0.842 0.842 0.752 Mg
0.143 0.857 0.000 Pd
0.357 0.357 0.500 Pd
0.643 0.643 0.500 Pd
0.857 0.143 0.000 Pd
```



[6]
# Sm2MgTi

A relaxed structure of Sm2MgTi (PBE, Alexandria).

As for the excess energy over the best structure of this formula in the dataset: 0.0000 eV per atom. The total energy comes out at -4.628 eV per atom. The value obtained for the formation energy is 0.104 eV per atom.

```
Sm2MgTi
1.0
3.426 0.000 0.000
0.000 3.426 0.000
0.000 0.000 9.121
Sm Mg Ti
2 1 1
Direct
0.000 0.000 0.233 Sm
0.000 0.000 0.767 Sm
0.500 0.500 0.500 Mg
0.500 0.500 0.000 Ti
```



[7]
# Ca2Al4PdPt3

A relaxed structure of Ca2Al4PdPt3 (PBE, Alexandria).

The total energy comes out at -5.233 eV per atom. The value obtained for the formation energy is -1.004 eV per atom.

```
Ca2Al4PdPt3
1.0
4.349 0.000 0.000
0.000 4.349 0.000
0.000 0.000 10.083
Ca Al Pd Pt
2 4 1 3
Direct
0.000 0.500 0.245 Ca
0.500 0.000 0.755 Ca
0.000 0.000 0.500 Al
0.000 0.500 0.877 Al
0.500 0.000 0.123 Al
0.500 0.500 0.500 Al
0.500 0.500 0.000 Pd
0.000 0.000 0.000 Pt
0.000 0.500 0.631 Pt
0.500 0.000 0.369 Pt
```



[8]
# AlInP

A relaxed structure of AlInP (PBE, Alexandria).

As for the excess energy over the best structure of this formula in the dataset: 0.0048 eV per atom. The total energy comes out at -4.106 eV per atom. The value obtained for the formation energy is -0.143 eV per atom.

```
AlInP
1.0
6.323 -1.892 0.000
6.323 1.892 0.000
-3.193 0.000 5.741
Al In P
2 2 2
Direct
0.000 0.000 0.000 Al
0.516 0.516 0.549 Al
0.298 0.298 0.103 In
0.313 0.313 0.643 In
0.072 0.072 0.411 P
0.612 0.612 0.961 P
```



What did the seventh record say?
# Ca2Al4PdPt3

A relaxed structure of Ca2Al4PdPt3 (PBE, Alexandria).

The total energy comes out at -5.233 eV per atom. The value obtained for the formation energy is -1.004 eV per atom.

```
Ca2Al4PdPt3
1.0
4.349 0.000 0.000
0.000 4.349 0.000
0.000 0.000 10.083
Ca Al Pd Pt
2 4 1 3
Direct
0.000 0.500 0.245 Ca
0.500 0.000 0.755 Ca
0.000 0.000 0.500 Al
0.000 0.500 0.877 Al
0.500 0.000 0.123 Al
0.500 0.500 0.500 Al
0.500 0.500 0.000 Pd
0.000 0.000 0.000 Pt
0.000 0.500 0.631 Pt
0.500 0.000 0.369 Pt
```